Compound: NdHoLuSc
Source: the Alexandria database
Functional: PBE-GGA
Structure: optimized geometry

Calculated values
Space group: F-43m (216)
E_form, kJ/mol of formula units: 36
Theoretical density, g/cm³: 7.316
N(E_F), states/eV/atom: 1.34
VASP energy, eV/atom: -4.955

a b c (Å): 5.5378 5.5378 5.5378
angles (deg): 60.00 60.00 60.00
Positions (direct):
Ho 0.2500 0.2500 0.2500
Nd 0.7500 0.7500 0.7500
Sc 0.0000 0.0000 0.0000
Lu 0.5000 0.5000 0.5000

=====

Compound: NdSmHoLu
Source: the Alexandria database
Functional: PBE-GGA
Structure: optimized geometry

Calculated values
Space group: F-43m (216)
E_form, kJ/mol of formula units: 40
Theoretical density, g/cm³: 8.083
N(E_F), states/eV/atom: 1.64
VASP energy, eV/atom: -4.543

a b c (Å): 5.6913 5.6913 5.6913
angles (deg): 60.00 60.00 60.00
Positions (direct):
Sm 0.7500 0.7500 0.7500
Lu 0.5000 0.5000 0.5000
Nd 0.2500 0.2500 0.2500
Ho 0.0000 0.0000 0.0000

=====

Compound: TbNdHoLu
Source: the Alexandria database
Functional: PBE-GGA
Structure: optimized geometry

Calculated values
Space group: F-43m (216)
E_form, kJ/mol of formula units: 43
Theoretical density, g/cm³: 8.300
N(E_F), states/eV/atom: 1.66
VASP energy, eV/atom: -4.513

a b c (Å): 5.6665 5.6665 5.6665
angles (deg): 60.00 60.00 60.00
Positions (direct):
Lu 0.0000 0.0000 0.0000
Tb 0.7500 0.7500 0.7500
Nd 0.2500 0.2500 0.2500
Ho 0.5000 0.5000 0.5000

=====

Compound: NdHoLuTl
Source: the Alexandria database
Functional: PBE-GGA
Structure: optimized geometry

Calculated values
Space group: F-43m (216)
E_form, kJ/mol of formula units: -20
Theoretical density, g/cm³: 9.770
N(E_F), states/eV/atom: 1.55
VASP energy, eV/atom: -4.109

a b c (Å): 5.4903 5.4903 5.4903
angles (deg): 60.00 60.00 60.00
Positions (direct):
Nd 0.7500 0.7500 0.7500
Tl 0.0000 0.0000 0.0000
Lu 0.5000 0.5000 0.5000
Ho 0.2500 0.2500 0.2500